1.
This record from Alexandria via LeMat-Bulk describes a geometry-optimized KLaIr2 structure. The functional is PBE.

Cell lengths 4.5076, 4.5076, 4.2562 Å; angles 90.00, 90.00, 90.00 degrees
Last column: nearest neighbours and their distance in Å.
Fractional coordinates of all 4 atoms:
1 K 0.5000 0.0000 0.5000  8 Ir 3.10, 4 La 3.19
2 Ir 0.5000 0.5000 0.0000  4 La 3.10, 4 K 3.10, 4 Ir 3.19
3 La 0.0000 0.5000 0.5000  8 Ir 3.10, 4 K 3.19
4 Ir 0.0000 0.0000 0.0000  4 K 3.10, 4 La 3.10, 4 Ir 3.19

Calculated values
**Crystal system**: tetragonal
**DFT total energy**: -5.562 eV per atom
**DFT formation energy**: 145 kJ/mol of formula units
**Mass density**: 10.799 g/cm3
**Calculated volume**: 86.5 Å³/cell


2.
This record from Alexandria via LeMat-Bulk describes a geometry-optimized MnFeSe2Br structure. The functional is PBE.

Cell lengths 4.7064, 4.7064, 5.2316 Å; angles 90.00, 90.00, 90.00 degrees
Last column: nearest neighbours and their distance in Å.
Fractional coordinates of all 5 atoms:
1 Fe 0.0000 0.0000 0.0000  4 Se 2.35, 2 Br 2.62
2 Se 0.0000 0.5000 0.0000  2 Fe 2.35
3 Se 0.5000 0.0000 0.0000  2 Fe 2.35
4 Br 0.0000 0.0000 0.5000  2 Fe 2.62
5 Mn 0.5000 0.5000 0.5000  4 Br 3.33, 8 Se 3.52

Calculated values
**Crystal system**: tetragonal
**DFT total energy**: -4.948 eV per atom
**ΔE_f (raw)**: 0.31 eV per atom
**Mass density**: 4.995 g/cm3
**Calculated volume**: 115.9 Å³/cell